A plane-wave DFT calculation with PBE-GGA was carried out for V12GeC4 after structural relaxation.

The crystal system is cubic. The calculation puts the formation energy at -0.30 eV per atom. The spin magnetization comes out at 0.0 Bohr magnetons per cell. Its energy is -9.176 eV per atom.

abc: 6.4324 6.4324 6.4324
angles: 109.47 109.47 109.47
With the nearest neighbours (Å) after each atom.
Sites, in units of the cell vectors:
V (0.1443, 0.3186, 0.8257)  2 C 2.01
V (0.1743, 0.4929, 0.3186)  2 C 2.01
V (0.1743, 0.8557, 0.6814)  2 C 2.01
V (0.3186, 0.1743, 0.4929)  2 C 2.01
V (0.3186, 0.8257, 0.1443)  2 C 2.01
V (0.4929, 0.3186, 0.1743)  2 C 2.01
V (0.5071, 0.6814, 0.8257)  2 C 2.01
V (0.6814, 0.1743, 0.8557)  2 C 2.01
V (0.6814, 0.8257, 0.5071)  2 C 2.01
V (0.8257, 0.1443, 0.3186)  2 C 2.01
V (0.8257, 0.5071, 0.6814)  2 C 2.01
V (0.8557, 0.6814, 0.1743)  2 C 2.01
Ge (0.0000, 0.0000, 0.0000)  12 V 2.70
C (0.0000, 0.0000, 0.5000)  6 V 2.01
C (0.0000, 0.5000, 0.0000)  6 V 2.01
C (0.5000, 0.0000, 0.0000)  6 V 2.01
C (0.5000, 0.5000, 0.5000)  6 V 2.01